No. 1
# PBE Rb3Li2CeBr9, relaxed
data_Rb3Li2CeBr9
_chemical_formula_sum 'Rb3 Li2 Ce1 Br9'
_cell_length_a 7.8439
_cell_length_b 7.8439
_cell_length_c 9.8400
_cell_angle_alpha 90.00
_cell_angle_beta 90.00
_cell_angle_gamma 120.00
_symmetry_space_group_name_H-M 'P -3 m 1'
_symmetry_Int_Tables_number 164
_symmetry_space_group_name_Hall '-P 3 2"'
loop_
_atom_site_label
_atom_site_fract_x
_atom_site_fract_y
_atom_site_fract_z
Rb1 0.0000 0.0000 0.0000
Rb2 0.3333 0.6667 0.7178
Li1 0.3333 0.6667 0.1137
Ce1 0.0000 0.0000 0.5000
Br1 0.0000 0.5000 0.0000
Br2 0.1672 0.3344 0.3352
# ΔE_f (raw): -1641 meV per atom
# final energy: -3.49 eV/atom



No. 2
# PBE RbLi2CeBr8, relaxed
data_RbLi2CeBr8
_chemical_formula_sum 'Rb1 Li2 Ce1 Br8'
_cell_length_a 6.0761
_cell_length_b 6.9815
_cell_length_c 9.9883
_cell_angle_alpha 92.91
_cell_angle_beta 106.66
_cell_angle_gamma 90.19
_symmetry_space_group_name_H-M 'P -1'
_symmetry_Int_Tables_number 2
loop_
_symmetry_equiv_pos_as_xyz
'x,y,z'
'-x,-y,-z'
loop_
_atom_site_label
_atom_site_fract_x
_atom_site_fract_y
_atom_site_fract_z
Rb1 0.0000 0.0000 0.0000
Li1 0.1467 0.5229 0.7101
Ce1 0.5000 0.0000 0.5000
Br1 0.1490 0.7956 0.3097
Br2 0.2335 0.3325 0.4870
Br3 0.2456 0.5027 0.9873
Br4 0.3808 0.8631 0.7317
# ΔE_f (raw): -1408 meV per atom
# final energy: -3.42 eV/atom



Number 1: magnetic moment 0.0 μB/f.u.. Number 2: magnetic moment 0.1 μB/f.u..